# ScTlPd (PBE, relaxed)
data_ScTlPd
_symmetry_space_group_name_H-M 'F -4 3 m'
_symmetry_Int_Tables_number 216
_symmetry_space_group_name_Hall 'F -4 2 3'
_cell_length_a 6.535
_cell_length_b 6.535
_cell_length_c 6.535
_cell_angle_alpha 90.00
_cell_angle_beta 90.00
_cell_angle_gamma 90.00
loop_
_atom_site_label
_atom_site_type_symbol
_atom_site_fract_x
_atom_site_fract_y
_atom_site_fract_z
_atom_site_occupancy
Sc1 Sc 0.000 0.000 0.000 1
Tl1 Tl 0.250 0.250 0.750 1
Pd1 Pd 0.000 0.000 0.500 1
# size of the total moment: 0.1644 μB/atom
# final energy: -4.70 eV/atom
# volume: 69.8 Å³/f.u.

# Al2CdIr (PBE, relaxed)
data_Al2CdIr
_symmetry_space_group_name_H-M 'F -4 3 m'
_symmetry_Int_Tables_number 216
_symmetry_space_group_name_Hall 'F -4 2 3'
_cell_length_a 6.380
_cell_length_b 6.380
_cell_length_c 6.380
_cell_angle_alpha 90.00
_cell_angle_beta 90.00
_cell_angle_gamma 90.00
loop_
_atom_site_label
_atom_site_type_symbol
_atom_site_fract_x
_atom_site_fract_y
_atom_site_fract_z
_atom_site_occupancy
Al1 Al 0.000 0.000 0.000 1
Al2 Al 0.250 0.250 0.250 1
Cd1 Cd 0.000 0.000 0.500 1
Ir1 Ir 0.250 0.250 0.750 1
# size of the total moment: 0.0009 μB/atom
# final energy: -4.31 eV/atom
# volume: 64.9 Å³/f.u.

# K2Pr4Cl9O2 (PBE, relaxed)
data_K2Pr4Cl9O2
_symmetry_space_group_name_H-M 'P 1 21/m 1'
_symmetry_Int_Tables_number 11
_cell_length_a 8.437
_cell_length_b 11.431
_cell_length_c 9.540
_cell_angle_alpha 90.00
_cell_angle_beta 104.54
_cell_angle_gamma 90.00
loop_
_symmetry_equiv_pos_as_xyz
'x,y,z'
'-x,-y,-z'
'-x,y+1/2,-z'
'x,-y+1/2,z'
loop_
_atom_site_label
_atom_site_type_symbol
_atom_site_fract_x
_atom_site_fract_y
_atom_site_fract_z
_atom_site_occupancy
K1 K 0.239 0.047 0.444 1
Pr1 Pr 0.283 0.044 0.954 1
Pr2 Pr 0.380 0.750 0.161 1
Pr3 Pr 0.386 0.750 0.784 1
Cl1 Cl 0.105 0.592 0.126 1
Cl2 Cl 0.122 0.585 0.696 1
Cl3 Cl 0.251 0.250 0.135 1
Cl4 Cl 0.252 0.250 0.754 1
Cl5 Cl 0.389 0.750 0.475 1
Cl6 Cl 0.491 0.501 0.278 1
O1 O 0.452 0.622 0.989 1
# size of the total moment: 0.0588 μB/atom
# final energy: -5.23 eV/atom
# volume: 445.3 Å³/f.u.

# BeOs2Pd (PBE, relaxed)
data_BeOs2Pd
_symmetry_space_group_name_H-M 'F -4 3 m'
_symmetry_Int_Tables_number 216
_symmetry_space_group_name_Hall 'F -4 2 3'
_cell_length_a 6.011
_cell_length_b 6.011
_cell_length_c 6.011
_cell_angle_alpha 90.00
_cell_angle_beta 90.00
_cell_angle_gamma 90.00
loop_
_atom_site_label
_atom_site_type_symbol
_atom_site_fract_x
_atom_site_fract_y
_atom_site_fract_z
_atom_site_occupancy
Be1 Be 0.000 0.000 0.000 1
Os1 Os 0.000 0.000 0.500 1
Os2 Os 0.250 0.250 0.750 1
Pd1 Pd 0.250 0.250 0.250 1
# size of the total moment: 0.0009 μB/atom
# final energy: -7.51 eV/atom
# volume: 54.3 Å³/f.u.

# Zr2TcB (PBE, relaxed)
data_Zr2TcB
_symmetry_space_group_name_H-M 'F -4 3 m'
_symmetry_Int_Tables_number 216
_symmetry_space_group_name_Hall 'F -4 2 3'
_cell_length_a 6.318
_cell_length_b 6.318
_cell_length_c 6.318
_cell_angle_alpha 90.00
_cell_angle_beta 90.00
_cell_angle_gamma 90.00
loop_
_atom_site_label
_atom_site_type_symbol
_atom_site_fract_x
_atom_site_fract_y
_atom_site_fract_z
_atom_site_occupancy
Zr1 Zr 0.000 0.000 0.000 1
Zr2 Zr 0.250 0.250 0.250 1
Tc1 Tc 0.250 0.250 0.750 1
B1 B 0.000 0.000 0.500 1
# size of the total moment: 0.0001 μB/atom
# final energy: -8.24 eV/atom
# volume: 63.0 Å³/f.u.

# Lu2Au2I (PBE, relaxed)
data_Lu2Au2I
_symmetry_space_group_name_H-M 'F d d d'
_symmetry_Int_Tables_number 70
_cell_length_a 4.880
_cell_length_b 14.508
_cell_length_c 15.405
_cell_angle_alpha 90.00
_cell_angle_beta 90.00
_cell_angle_gamma 90.00
loop_
_symmetry_equiv_pos_as_xyz
'x,y,z'
'-x,-y,-z'
'-x+1/4,-y+1/4,z'
'x+1/4,y+1/4,-z'
'x,-y+1/4,-z+1/4'
'-x,y+1/4,z+1/4'
'-x+1/4,y,-z+1/4'
'x+1/4,-y,z+1/4'
'x,y+1/2,z+1/2'
'-x,-y+1/2,-z+1/2'
'-x+1/4,-y+3/4,z+1/2'
'x+1/4,y+3/4,-z+1/2'
'x,-y+3/4,-z+3/4'
'-x,y+3/4,z+3/4'
'-x+1/4,y+1/2,-z+3/4'
'x+1/4,-y+1/2,z+3/4'
'x+1/2,y,z+1/2'
'-x+1/2,-y,-z+1/2'
'-x+3/4,-y+1/4,z+1/2'
'x+3/4,y+1/4,-z+1/2'
'x+1/2,-y+1/4,-z+3/4'
'-x+1/2,y+1/4,z+3/4'
'-x+3/4,y,-z+3/4'
'x+3/4,-y,z+3/4'
'x+1/2,y+1/2,z'
'-x+1/2,-y+1/2,-z'
'-x+3/4,-y+3/4,z'
'x+3/4,y+3/4,-z'
'x+1/2,-y+3/4,-z+1/4'
'-x+1/2,y+3/4,z+1/4'
'-x+3/4,y+1/2,-z+1/4'
'x+3/4,-y+1/2,z+1/4'
loop_
_atom_site_label
_atom_site_type_symbol
_atom_site_fract_x
_atom_site_fract_y
_atom_site_fract_z
_atom_site_occupancy
Lu1 Lu 0.125 0.296 0.125 1
Au1 Au 0.000 0.000 0.500 1
I1 I 0.125 0.125 0.625 1
# size of the total moment: 0.0000 μB/atom
# final energy: -3.22 eV/atom
# volume: 136.3 Å³/f.u.